A plane-wave DFT calculation with PBE was carried out for an optimized crystal structure of KTaFeSe3.

a b c (Å): 8.0181 8.0181 9.6917
angles (deg): 90.00 90.00 154.07
Each line ends with the local moment (μB).
Sites, in units of the cell vectors:
1 Fe 0.4713 0.5287 0.2500  2.40
2 Fe 0.5287 0.4713 0.7500  2.40
3 K 0.7515 0.2485 0.2500  0.00
4 K 0.2485 0.7515 0.7500  0.00
5 Se 0.3805 0.6195 0.0537  0.03
6 Se 0.0739 0.9261 0.2500  0.05
7 Se 0.3805 0.6195 0.4463  0.03
8 Se 0.6195 0.3805 0.5537  0.03
9 Se 0.9261 0.0739 0.7500  0.05
10 Se 0.6195 0.3805 0.9463  0.03
11 Ta 0.0000 0.0000 0.0000  -0.31
12 Ta 0.0000 0.0000 0.5000  -0.32

Computed properties:
* V: 22.7 A^3/atom
* density: 6250 kg/m3
* raw total energy: -6.03 eV/atom